Entry 1:
First-principles (PBE-GGA) data for a relaxed structure of SmHgSbPb, as listed in Alexandria.

Unit cell a=7.688 b=7.688 c=7.688 alpha=90.00 beta=90.00 gamma=90.00
Space group F-43m (No. 216)
Inequivalent atoms, fractional coordinates:
Sm 0.000 0.000 0.000
Hg 0.250 0.250 0.250
Sb 0.250 0.250 0.750
Pb 0.000 0.000 0.500

Output
Spin magnetization   0.00 Bohr magnetons per cell
Crystal system   cubic

=====

Entry 2:
First-principles (PBE-GGA) data for a relaxed structure of Sc2BiCl, as listed in Alexandria.

Unit cell a=6.048 b=6.048 c=13.221 alpha=90.00 beta=90.00 gamma=90.00
Space group I-42d (No. 122)
Inequivalent atoms, fractional coordinates:
Sc 0.204 0.250 0.125
Bi 0.000 0.000 0.500
Cl 0.000 0.000 0.000

Output
Distance to the lowest polymorph of the same formula   211 meV/atom
Spin magnetization   0.00 Bohr magnetons per cell
Crystal system   tetragonal

=====

| no. | formation energy without anion corrections (eV per formula unit) |
| --- | --- |
| 1 | -1.4 |
| 2 | -2.1 |